Record 1
A plane-wave DFT calculation with GGA-PBE was carried out for a relaxed structure of Zn2Cd3Ag4.

The space group is C2/m (No. 12) and the conventional cell measures 9.906, 4.689 and 7.244 Å, with angles of 90.00, 102.34 and 90.00 degrees. The inequivalent atoms are Zn at (0.226, 0.000, 0.327), Cd at (0.000, 0.000, 0.000), Cd at (0.063, 0.500, 0.333), Ag at (0.123, 0.000, 0.654) and Ag at (0.169, 0.500, 0.988).

For the formation energy, the calculation gives -11.6 meV/atom. Its total magnetic moment is 0.00 Bohr magnetons per cell. For the density, the calculation gives 9.1 g/cm³.

***

Record 2
A plane-wave DFT calculation with GGA-PBE was carried out for a relaxed structure of PuInGeO6.

The space group is P-31c (No. 163) and the conventional cell measures 5.3195, 5.3195 and 9.2342 Å, with angles of 90.00, 90.00 and 120.00 degrees. The inequivalent atoms are Pu at (0.3333, 0.6667, 0.2500), In at (0.0000, 0.0000, 0.0000), Ge at (0.3333, 0.6667, 0.7500) and O at (0.0297, 0.3634, 0.6337).

As for the total energy: -137.263 eV per cell. Its total magnetic moment is 6.00 Bohr magnetons per cell. For the density, the calculation gives 7.7 g/cm³.

***

Record 3
A plane-wave DFT calculation with GGA-PBE was carried out for a relaxed structure of RbNaIn2Ni.

The space group is P4/mmm (No. 123) and the conventional cell measures 5.041, 5.041 and 5.769 Å, with angles of 90.00, 90.00 and 90.00 degrees. The inequivalent atoms are Rb at (0.000, 0.000, 0.000), Na at (0.500, 0.500, 0.000), In at (0.000, 0.500, 0.500) and Ni at (0.500, 0.500, 0.500).

For the formation energy, the calculation gives -33.6 meV/atom. Its total magnetic moment is 0.00 Bohr magnetons per cell. For the density, the calculation gives 4.5 g/cm³.